No. 1
An optimized crystal structure of CdB2O4, computed with PBEsol.

Lattice parameters (Å, degrees): 7.6925 7.6925 7.6925 96.90 96.90 96.90
Element x y z (fractional)
Cd: 0.1954 0.4971 0.8401
Cd: 0.3401 0.9971 0.6954
Cd: 0.6954 0.3401 0.9971
Cd: 0.4971 0.8401 0.1954
Cd: 0.8401 0.1954 0.4971
Cd: 0.9971 0.6954 0.3401
B: 0.0084 0.0459 0.8151
B: 0.5626 0.7147 0.8087
B: 0.3151 0.5459 0.5084
B: 0.0626 0.3087 0.2147
B: 0.2147 0.0626 0.3087
B: 0.5084 0.3151 0.5459
B: 0.0459 0.8151 0.0084
B: 0.8087 0.5626 0.7147
B: 0.7147 0.8087 0.5626
B: 0.5459 0.5084 0.3151
B: 0.3087 0.2147 0.0626
B: 0.8151 0.0084 0.0459
O: 0.0932 0.9053 0.8701
O: 0.0672 0.1242 0.6849
O: 0.4019 0.2361 0.9299
O: 0.4299 0.7361 0.9019
O: 0.1849 0.6242 0.5672
O: 0.0880 0.1779 0.3250
O: 0.3701 0.4053 0.5932
O: 0.2361 0.9299 0.4019
O: 0.6779 0.5880 0.8250
O: 0.5672 0.1849 0.6242
O: 0.5880 0.8250 0.6779
O: 0.8701 0.0932 0.9053
O: 0.4053 0.5932 0.3701
O: 0.1779 0.3250 0.0880
O: 0.1242 0.6849 0.0672
O: 0.3250 0.0880 0.1779
O: 0.9019 0.4299 0.7361
O: 0.5932 0.3701 0.4053
O: 0.8250 0.6779 0.5880
O: 0.7361 0.9019 0.4299
O: 0.6242 0.5672 0.1849
O: 0.6849 0.0672 0.1242
O: 0.9299 0.4019 0.2361
O: 0.9053 0.8701 0.0932

Results
- space-group type = R3c, No. 161
- relative energy among the computed polymorphs (meV/atom) = 125.9
- D(E_F) (states/eV per atom) = 0.000
- ρ (g/cm³) = 4.4
- formation energy (no corrections) (meV per atom) = -1979
- total magnetization (μB/f.u.) = 0.00
- energy (eV for the cell shown) = -300.46

=====

No. 2
An optimized crystal structure of CdBO3, computed with PBEsol.

Lattice parameters (Å, degrees): 4.0944 4.0944 4.0944 90.00 90.00 90.00
Element x y z (fractional)
B: 0.5000 0.5000 0.5000
O: 0.0000 0.5000 0.0000
O: 0.0000 0.0000 0.5000
O: 0.5000 0.0000 0.0000
Cd: 0.0000 0.0000 0.0000

Results
- space-group type = Pm-3m, No. 221
- D(E_F) (states/eV per atom) = 1.126
- ρ (g/cm³) = 4.1
- formation energy (no corrections) (meV per atom) = 1320
- total magnetization (μB/f.u.) = 1.73
- energy (eV for the cell shown) = -17.36

=====

No. 3
An optimized crystal structure of Cd2BO, computed with PBEsol.

Lattice parameters (Å, degrees): 5.7528 5.6288 5.7528 59.27 90.00 120.73
Element x y z (fractional)
B: 0.2500 0.5000 0.2500
B: 0.5000 0.0000 0.5000
O: 0.7500 0.5000 0.7500
O: 0.0000 0.0000 0.0000
Cd: 0.1104 0.7500 0.8750
Cd: 0.6396 0.7500 0.3750
Cd: 0.3750 0.2500 0.1104
Cd: 0.8750 0.2500 0.6396

Results
- space-group type = I-42d, No. 122
- D(E_F) (states/eV per atom) = 0.323
- ρ (g/cm³) = 6.5
- formation energy (no corrections) (meV per atom) = 310
- total magnetization (μB/f.u.) = 0.00
- energy (eV for the cell shown) = -26.84

=====

No. 4
An optimized crystal structure of Cd3BPO7, computed with PBEsol.

Lattice parameters (Å, degrees): 5.0983 8.8705 13.2570 90.00 90.00 90.00
Element x y z (fractional)
Cd: 0.0026 0.0971 0.1379
Cd: 0.5026 0.9029 0.8621
Cd: 0.5026 0.5971 0.3621
Cd: 0.0026 0.4029 0.6379
Cd: 0.9871 0.0884 0.4028
Cd: 0.4871 0.9116 0.5972
Cd: 0.4871 0.5884 0.0972
Cd: 0.9871 0.4116 0.9028
Cd: 0.9980 0.7617 0.2468
Cd: 0.4980 0.2383 0.7532
Cd: 0.4980 0.2617 0.2532
Cd: 0.9980 0.7383 0.7468
B: 0.0006 0.4312 0.2270
B: 0.5006 0.5688 0.7730
B: 0.5006 0.9312 0.2730
B: 0.0006 0.0688 0.7270
P: 0.9779 0.7707 0.9963
P: 0.4779 0.2293 0.0037
P: 0.4779 0.2707 0.5037
P: 0.9779 0.7293 0.4963
O: 0.6735 0.7543 0.9899
O: 0.1735 0.2457 0.0101
O: 0.1735 0.2543 0.5101
O: 0.6735 0.7457 0.4899
O: 0.0595 0.8625 0.0907
O: 0.5595 0.1375 0.9093
O: 0.5595 0.3625 0.4093
O: 0.0595 0.6375 0.5907
O: 0.1053 0.6124 0.0049
O: 0.6053 0.3876 0.9951
O: 0.6053 0.1124 0.4951
O: 0.1053 0.8876 0.5049
O: 0.5686 0.1439 0.0992
O: 0.0686 0.8561 0.9008
O: 0.0686 0.6439 0.4008
O: 0.5686 0.3561 0.5992
O: 0.9335 0.2831 0.2475
O: 0.4335 0.7169 0.7525
O: 0.4335 0.7831 0.2525
O: 0.9335 0.2169 0.7475
O: 0.8086 0.5417 0.2180
O: 0.3086 0.4583 0.7820
O: 0.3086 0.0417 0.2820
O: 0.8086 0.9583 0.7180
O: 0.7652 0.9671 0.2806
O: 0.2652 0.0329 0.7194
O: 0.2652 0.4671 0.2194
O: 0.7652 0.5329 0.7806

Results
- space-group type = Pna2_1, No. 33
- D(E_F) (states/eV per atom) = 0.000
- ρ (g/cm³) = 5.4
- formation energy (no corrections) (meV per atom) = -1780
- total magnetization (μB/f.u.) = 0.00
- energy (eV for the cell shown) = -298.03

=====

No. 5
An optimized crystal structure of Cd3B4Pb3O12, computed with PBEsol.

Lattice parameters (Å, degrees): 7.0009 10.0154 10.0154 120.00 90.00 90.00
Element x y z (fractional)
Cd: 0.5000 0.0000 0.5000
Cd: 0.5000 0.5000 0.5000
Cd: 0.5000 0.5000 0.0000
Cd: 0.0000 0.0000 0.5000
Cd: 0.0000 0.5000 0.5000
Cd: 0.0000 0.5000 0.0000
B: 0.7500 0.1903 0.3913
B: 0.7500 0.6087 0.7990
B: 0.7500 0.2010 0.8097
B: 0.2500 0.8097 0.6087
B: 0.2500 0.3913 0.2010
B: 0.2500 0.7990 0.1903
B: 0.7500 0.6667 0.3333
B: 0.2500 0.3333 0.6667
Pb: 0.7500 0.8653 0.1515
Pb: 0.7500 0.8485 0.7138
Pb: 0.7500 0.2862 0.1347
Pb: 0.2500 0.1347 0.8485
Pb: 0.2500 0.1515 0.2862
Pb: 0.2500 0.7138 0.8653
O: 0.7500 0.8135 0.3507
O: 0.7500 0.6493 0.4628
O: 0.7500 0.5372 0.1865
O: 0.2500 0.1865 0.6493
O: 0.2500 0.3507 0.5372
O: 0.2500 0.4628 0.8135
O: 0.7500 0.1052 0.6534
O: 0.7500 0.3466 0.4518
O: 0.7500 0.5482 0.8948
O: 0.2500 0.8948 0.3466
O: 0.2500 0.6534 0.5482
O: 0.2500 0.4518 0.1052
O: 0.5813 0.1046 0.3510
O: 0.5813 0.6490 0.7536
O: 0.5813 0.2464 0.8954
O: 0.0813 0.8954 0.6490
O: 0.0813 0.3510 0.2464
O: 0.0813 0.7536 0.1046
O: 0.4187 0.8954 0.6490
O: 0.4187 0.3510 0.2464
O: 0.4187 0.7536 0.1046
O: 0.9187 0.1046 0.3510
O: 0.9187 0.6490 0.7536
O: 0.9187 0.2464 0.8954

Results
- space-group type = P6_3/m, No. 176
- D(E_F) (states/eV per atom) = 0.000
- ρ (g/cm³) = 6.5
- formation energy (no corrections) (meV per atom) = -1747
- total magnetization (μB/f.u.) = 0.00
- energy (eV for the cell shown) = -290.17

=====

No. 6
An optimized crystal structure of Zn3Cd3B4O12, computed with PBEsol.

Lattice parameters (Å, degrees): 6.3754 6.3754 6.3754 82.59 82.59 82.59
Element x y z (fractional)
Zn: 0.5206 0.2151 0.8323
Zn: 0.8323 0.5206 0.2151
Zn: 0.2151 0.8323 0.5206
Cd: 0.0160 0.3489 0.7185
Cd: 0.7185 0.0160 0.3489
Cd: 0.3489 0.7185 0.0160
B: 0.8891 0.8891 0.8891
B: 0.4054 0.4054 0.4054
B: 0.6385 0.6385 0.6385
B: 0.1538 0.1538 0.1538
O: 0.8103 0.0789 0.7792
O: 0.7792 0.8103 0.0789
O: 0.0789 0.7792 0.8103
O: 0.3457 0.2784 0.5907
O: 0.5907 0.3457 0.2784
O: 0.2784 0.5907 0.3457
O: 0.8270 0.5793 0.5161
O: 0.5161 0.8270 0.5793
O: 0.5793 0.5161 0.8270
O: 0.3427 0.0629 0.0534
O: 0.0534 0.3427 0.0629
O: 0.0629 0.0534 0.3427

Results
- space-group type = R3, No. 146
- D(E_F) (states/eV per atom) = 0.000
- ρ (g/cm³) = 5.0
- formation energy (no corrections) (meV per atom) = -1784
- total magnetization (μB/f.u.) = 0.00
- energy (eV for the cell shown) = -138.65

=====

Which of these has the lowest formation energy (no corrections)? CdB2O4

=====

ρ of number 4 (Cd3BPO7)? 5.4 g/cm³

=====

Which value of formation energy (no corrections) does entry 3 give? 310 meV per atom

=====

Among the records above, which one has the highest formation energy (no corrections)? CdBO3